{"formula": "UVPt2", "functional": "PBE", "state": "relaxed", "volume_a3_per_atom": 19.15, "relative_energy_ev_per_atom": 0.0877, "space_group": "No. 166", "ef_ev_per_atom": -0.409, "lattice_angstrom": [[-2.583, 0.359, -3.555], [-4.386, -0.118, 0.440], [-2.393, 4.602, -0.531]], "species": ["V", "Pt", "Pt", "U"], "frac_coords": [[0.000, 0.000, 0.000], [0.716, 0.716, 0.851], [0.284, 0.284, 0.149], [0.500, 0.500, 0.500]]}

{"formula": "Ti2Ga2Ni5", "functional": "PBE", "state": "relaxed", "volume_a3_per_atom": 13.67, "space_group": "No. 46", "ef_ev_per_atom": -0.168, "lattice_angstrom": [[-3.248, -4.754, 3.490], [-2.277, -2.242, -5.173], [7.523, -0.137, 0.321]], "species": ["Ni", "Ga", "Ga", "Ni", "Ti", "Ni", "Ni", "Ga", "Ni", "Ti", "Ti", "Ni", "Ni", "Ga", "Ni", "Ni", "Ni", "Ti"], "frac_coords": [[0.454, 0.532, 0.312], [0.740, 0.921, 0.500], [0.260, 0.421, 0.500], [0.281, 0.735, 0.940], [0.358, 0.931, 0.756], [0.719, 0.795, 0.060], [0.931, 0.583, 0.500], [0.000, 0.945, 0.000], [0.359, 0.032, 0.312], [0.103, 0.676, 0.244], [0.897, 0.431, 0.756], [0.069, 0.083, 0.500], [0.641, 0.719, 0.688], [0.500, 0.445, 0.000], [0.159, 0.235, 0.940], [0.841, 0.295, 0.060], [0.546, 0.219, 0.688], [0.642, 0.176, 0.244]]}

{"formula": "Pa2BiPd9", "functional": "PBE", "state": "relaxed", "volume_a3_per_atom": 18.01, "space_group": "No. 123", "ef_ev_per_atom": -0.590, "lattice_angstrom": [[-2.408, -2.003, -2.742], [-1.650, -2.248, 3.091], [-8.893, 8.613, 1.518]], "species": ["Pd", "Pd", "Pd", "Pd", "Bi", "Pa", "Pd", "Pd", "Pa", "Pd", "Pd", "Pd"], "frac_coords": [[0.000, 0.500, 0.178], [0.500, 0.500, 0.000], [0.500, 0.000, 0.822], [0.000, 0.500, 0.500], [0.000, 0.000, 0.000], [0.000, 0.000, 0.329], [0.500, 0.000, 0.178], [0.500, 0.000, 0.500], [0.000, 0.000, 0.671], [0.500, 0.500, 0.661], [0.000, 0.500, 0.822], [0.500, 0.500, 0.339]]}

{"formula": "SiHg2H", "functional": "PBE", "state": "relaxed", "volume_a3_per_atom": 17.73, "relative_energy_ev_per_atom": 0.1901, "space_group": "No. 225", "lattice_angstrom": [[-4.593, 0.295, -0.633], [-2.722, 1.563, 3.426], [-2.033, 4.162, -0.363]], "species": ["Si", "Hg", "Hg", "H"], "frac_coords": [[0.500, 0.500, 0.500], [0.750, 0.750, 0.750], [0.250, 0.250, 0.250], [0.000, 0.000, 0.000]]}

{"formula": "Ac2LaNdSm2", "functional": "PBE", "state": "relaxed", "volume_a3_per_atom": 38.21, "space_group": "No. 51", "ef_ev_per_atom": 0.069, "lattice_angstrom": [[-3.165, -1.069, 4.967], [-1.241, -6.956, -2.288], [8.583, -3.110, 4.799]], "species": ["Sm", "Sm", "La", "Ac", "Ac", "Ac", "Sm", "Nd", "La", "Ac", "Nd", "Sm"], "frac_coords": [[0.500, 0.257, 0.343], [0.000, 0.758, 0.175], [0.000, 0.508, 0.500], [0.500, 0.008, 0.000], [0.000, 0.258, 0.170], [0.000, 0.758, 0.830], [0.500, 0.757, 0.657], [0.500, 0.257, 0.666], [0.000, 0.008, 0.500], [0.500, 0.508, 0.000], [0.500, 0.757, 0.334], [0.000, 0.258, 0.825]]}

{"formula": "Sm5AgO8", "functional": "PBE", "state": "relaxed", "e_form_raw_mev_per_atom": -2931, "volume_a3_per_atom": 13.97, "space_group": "No. 82", "lattice_angstrom": [[6.334, 0.060, -0.103], [-2.087, 5.980, 0.103], [-2.160, -2.994, 5.148]], "species": ["Sm", "O", "Sm", "Sm", "O", "Ag", "O", "O", "O", "O", "O", "O", "Sm", "Sm"], "frac_coords": [[0.031, 0.396, 0.130], [0.503, 0.627, 0.273], [0.870, 0.901, 0.265], [0.365, 0.099, 0.969], [0.646, 0.373, 0.876], [0.250, 0.500, 0.750], [0.636, 0.897, 0.874], [0.727, 0.230, 0.354], [0.126, 0.762, 0.023], [0.977, 0.103, 0.739], [0.124, 0.770, 0.497], [0.261, 0.238, 0.364], [0.500, 0.000, 0.500], [0.735, 0.604, 0.635]]}

{"formula": "CdPb2Br", "functional": "PBE", "state": "relaxed", "e_form_raw_mev_per_atom": -176, "volume_a3_per_atom": 30.58, "relative_energy_ev_per_atom": 0.0042, "space_group": "No. 6", "lattice_angstrom": [[5.806, 0.000, 0.000], [0.000, 3.656, -0.050], [0.000, 1.503, 5.742]], "species": ["Pb", "Pb", "Cd", "Br"], "frac_coords": [[0.000, 0.001, 0.111], [0.500, 0.494, 0.156], [0.500, 0.768, 0.629], [0.000, 0.237, 0.604]]}

{"formula": "Sc2PAu2", "functional": "PBE", "state": "relaxed", "volume_a3_per_atom": 19.53, "relative_energy_ev_per_atom": 0.0510, "space_group": "No. 127", "ef_ev_per_atom": -0.580, "lattice_angstrom": [[-5.656, -0.360, -4.335], [-2.503, -5.546, 3.727], [-1.913, 2.406, 2.295]], "species": ["Sc", "P", "Sc", "P", "Au", "Au", "Au", "Sc", "Sc", "Au"], "frac_coords": [[0.669, 0.831, 0.500], [0.000, 0.000, 0.000], [0.331, 0.169, 0.500], [0.500, 0.500, 0.000], [0.365, 0.865, 0.000], [0.865, 0.635, 0.000], [0.135, 0.365, 0.000], [0.169, 0.669, 0.500], [0.831, 0.331, 0.500], [0.635, 0.135, 0.000]]}

Number 7 is which compound? CdPb2Br